(1)
# Li2IrAu (GGA-PBEsol, relaxed)
# E_tot: -0.1718 hartree per atom
data_Li2IrAu
_chemical_formula_sum 'Li6 Ir3 Au3'
_symmetry_space_group_name_H-M 'P 1'
_symmetry_Int_Tables_number 1
_symmetry_space_group_name_Hall 'P 1'
_cell_length_a 2.719
_cell_length_b 2.719
_cell_length_c 26.376
_cell_angle_alpha 90.00
_cell_angle_beta 90.00
_cell_angle_gamma 120.00
loop_
_atom_site_label
_atom_site_type_symbol
_atom_site_fract_x
_atom_site_fract_y
_atom_site_fract_z
_atom_site_occupancy
Li1 Li 0.000 0.000 0.245 1
Li2 Li 0.000 0.000 0.755 1
Li3 Li 0.333 0.667 0.421 1
Li4 Li 0.333 0.667 0.912 1
Li5 Li 0.667 0.333 0.088 1
Li6 Li 0.667 0.333 0.579 1
Ir1 Ir 0.000 0.000 0.500 1
Ir2 Ir 0.333 0.667 0.167 1
Ir3 Ir 0.667 0.333 0.833 1
Au1 Au 0.000 0.000 0.000 1
Au2 Au 0.333 0.667 0.667 1
Au3 Au 0.667 0.333 0.333 1

(2)
# LiTeOs (GGA-PBEsol, relaxed)
# raw formation energy: 422 meV/atom
# energy above the lowest structure with this stoichiometry: 0.1425 eV per atom
data_LiTeOs
_chemical_formula_sum 'Li1 Te1 Os1'
_symmetry_space_group_name_H-M 'P 1'
_symmetry_Int_Tables_number 1
_symmetry_space_group_name_Hall 'P 1'
_cell_length_a 3.099
_cell_length_b 3.099
_cell_length_c 6.525
_cell_angle_alpha 90.00
_cell_angle_beta 90.00
_cell_angle_gamma 120.00
loop_
_atom_site_label
_atom_site_type_symbol
_atom_site_fract_x
_atom_site_fract_y
_atom_site_fract_z
_atom_site_occupancy
Li1 Li 0.000 0.000 0.000 1
Te1 Te 0.333 0.667 0.389 1
Os1 Os 0.667 0.333 0.684 1

(3)
# Cr3MoH (GGA-PBEsol, relaxed)
# E_tot: -0.3274 hartree per atom
data_Cr3MoH
_chemical_formula_sum 'Cr3 Mo1 H1'
_symmetry_space_group_name_H-M 'P 1'
_symmetry_Int_Tables_number 1
_symmetry_space_group_name_Hall 'P 1'
_cell_length_a 3.721
_cell_length_b 3.721
_cell_length_c 3.721
_cell_angle_alpha 90.00
_cell_angle_beta 90.00
_cell_angle_gamma 90.00
loop_
_atom_site_label
_atom_site_type_symbol
_atom_site_fract_x
_atom_site_fract_y
_atom_site_fract_z
_atom_site_occupancy
Cr1 Cr 0.000 0.000 0.500 1
Cr2 Cr 0.000 0.500 0.000 1
Cr3 Cr 0.500 0.000 0.000 1
Mo1 Mo 0.500 0.500 0.500 1
H1 H 0.000 0.000 0.000 1

(4)
# CsCl (GGA-PBEsol, relaxed)
# raw formation energy: -1958 meV/atom
data_CsCl
_chemical_formula_sum 'Cs4 Cl4'
_symmetry_space_group_name_H-M 'P 1'
_symmetry_Int_Tables_number 1
_symmetry_space_group_name_Hall 'P 1'
_cell_length_a 6.890
_cell_length_b 6.890
_cell_length_c 6.890
_cell_angle_alpha 90.00
_cell_angle_beta 90.00
_cell_angle_gamma 90.00
loop_
_atom_site_label
_atom_site_type_symbol
_atom_site_fract_x
_atom_site_fract_y
_atom_site_fract_z
_atom_site_occupancy
Cs1 Cs 0.000 0.000 0.000 1
Cs2 Cs 0.000 0.500 0.500 1
Cs3 Cs 0.500 0.000 0.500 1
Cs4 Cs 0.500 0.500 0.000 1
Cl1 Cl 0.000 0.000 0.500 1
Cl2 Cl 0.000 0.500 0.000 1
Cl3 Cl 0.500 0.000 0.000 1
Cl4 Cl 0.500 0.500 0.500 1

(5)
# Nb3CdH (GGA-PBEsol, relaxed)
# energy above the lowest structure with this stoichiometry: 0.0000 eV per atom
data_Nb3CdH
_chemical_formula_sum 'Nb3 Cd1 H1'
_symmetry_space_group_name_H-M 'P 1'
_symmetry_Int_Tables_number 1
_symmetry_space_group_name_Hall 'P 1'
_cell_length_a 4.193
_cell_length_b 4.193
_cell_length_c 4.193
_cell_angle_alpha 90.00
_cell_angle_beta 90.00
_cell_angle_gamma 90.00
loop_
_atom_site_label
_atom_site_type_symbol
_atom_site_fract_x
_atom_site_fract_y
_atom_site_fract_z
_atom_site_occupancy
Nb1 Nb 0.000 0.000 0.500 1
Nb2 Nb 0.000 0.500 0.000 1
Nb3 Nb 0.500 0.000 0.000 1
Cd1 Cd 0.500 0.500 0.500 1
H1 H 0.000 0.000 0.000 1

(6)
# CsScFeTc2 (GGA-PBEsol, relaxed)
# E_tot: -0.2430 hartree per atom
data_CsScFeTc2
_chemical_formula_sum 'Cs1 Sc1 Fe1 Tc2'
_symmetry_space_group_name_H-M 'P 1'
_symmetry_Int_Tables_number 1
_symmetry_space_group_name_Hall 'P 1'
_cell_length_a 4.548
_cell_length_b 4.548
_cell_length_c 4.902
_cell_angle_alpha 90.00
_cell_angle_beta 90.00
_cell_angle_gamma 90.00
loop_
_atom_site_label
_atom_site_type_symbol
_atom_site_fract_x
_atom_site_fract_y
_atom_site_fract_z
_atom_site_occupancy
Cs1 Cs 0.000 0.000 0.000 1
Sc1 Sc 0.500 0.500 0.000 1
Fe1 Fe 0.500 0.500 0.500 1
Tc1 Tc 0.000 0.500 0.500 1
Tc2 Tc 0.500 0.000 0.500 1

(7)
# Sc3Tc (GGA-PBEsol, relaxed)
# E_tot: -0.2882 hartree per atom
data_Sc3Tc
_chemical_formula_sum 'Sc3 Tc1'
_symmetry_space_group_name_H-M 'P 1'
_symmetry_Int_Tables_number 1
_symmetry_space_group_name_Hall 'P 1'
_cell_length_a 3.239
_cell_length_b 3.239
_cell_length_c 7.741
_cell_angle_alpha 90.00
_cell_angle_beta 90.00
_cell_angle_gamma 90.00
loop_
_atom_site_label
_atom_site_type_symbol
_atom_site_fract_x
_atom_site_fract_y
_atom_site_fract_z
_atom_site_occupancy
Sc1 Sc 0.000 0.000 0.000 1
Sc2 Sc 0.500 0.500 0.306 1
Sc3 Sc 0.500 0.500 0.694 1
Tc1 Tc 0.000 0.000 0.500 1

(8)
# BaLi2Tl2 (GGA-PBEsol, relaxed)
# energy above the lowest structure with this stoichiometry: 0.0000 eV per atom
data_BaLi2Tl2
_chemical_formula_sum 'Ba2 Li4 Tl4'
_symmetry_space_group_name_H-M 'P 1'
_symmetry_Int_Tables_number 1
_symmetry_space_group_name_Hall 'P 1'
_cell_length_a 5.274
_cell_length_b 5.274
_cell_length_c 9.935
_cell_angle_alpha 90.00
_cell_angle_beta 90.00
_cell_angle_gamma 90.00
loop_
_atom_site_label
_atom_site_type_symbol
_atom_site_fract_x
_atom_site_fract_y
_atom_site_fract_z
_atom_site_occupancy
Ba1 Ba 0.000 0.000 0.000 1
Ba2 Ba 0.500 0.500 0.500 1
Li1 Li 0.000 0.000 0.362 1
Li2 Li 0.000 0.000 0.638 1
Li3 Li 0.500 0.500 0.138 1
Li4 Li 0.500 0.500 0.862 1
Tl1 Tl 0.000 0.500 0.250 1
Tl2 Tl 0.000 0.500 0.750 1
Tl3 Tl 0.500 0.000 0.250 1
Tl4 Tl 0.500 0.000 0.750 1

(9)
# Fe3OF5 (GGA-PBEsol, relaxed)
# raw formation energy: -1792 meV/atom
# energy above the lowest structure with this stoichiometry: 0.0000 eV per atom
data_Fe3OF5
_chemical_formula_sum 'Fe6 O2 F10'
_symmetry_space_group_name_H-M 'P 1'
_symmetry_Int_Tables_number 1
_symmetry_space_group_name_Hall 'P 1'
_cell_length_a 4.756
_cell_length_b 5.615
_cell_length_c 7.698
_cell_angle_alpha 82.89
_cell_angle_beta 88.74
_cell_angle_gamma 87.35
loop_
_atom_site_label
_atom_site_type_symbol
_atom_site_fract_x
_atom_site_fract_y
_atom_site_fract_z
_atom_site_occupancy
Fe1 Fe 0.000 0.000 0.000 1
Fe2 Fe 0.007 0.354 0.644 1
Fe3 Fe 0.476 0.853 0.704 1
Fe4 Fe 0.500 0.500 0.000 1
Fe5 Fe 0.524 0.147 0.296 1
Fe6 Fe 0.993 0.646 0.356 1
O1 O 0.284 0.805 0.916 1
O2 O 0.716 0.195 0.084 1
F1 F 0.195 0.952 0.244 1
F2 F 0.214 0.305 0.885 1
F3 F 0.225 0.653 0.574 1
F4 F 0.280 0.454 0.238 1
F5 F 0.305 0.143 0.550 1
F6 F 0.695 0.857 0.450 1
F7 F 0.720 0.546 0.762 1
F8 F 0.775 0.347 0.426 1
F9 F 0.786 0.695 0.115 1
F10 F 0.805 0.048 0.756 1

(10)
# ZrCoSe2 (GGA-PBEsol, relaxed)
# raw formation energy: -475 meV/atom
# energy above the lowest structure with this stoichiometry: 0.0000 eV per atom
data_ZrCoSe2
_chemical_formula_sum 'Zr4 Co4 Se8'
_symmetry_space_group_name_H-M 'P 1'
_symmetry_Int_Tables_number 1
_symmetry_space_group_name_Hall 'P 1'
_cell_length_a 6.400
_cell_length_b 6.400
_cell_length_c 6.400
_cell_angle_alpha 90.00
_cell_angle_beta 90.00
_cell_angle_gamma 90.00
loop_
_atom_site_label
_atom_site_type_symbol
_atom_site_fract_x
_atom_site_fract_y
_atom_site_fract_z
_atom_site_occupancy
Zr1 Zr 0.000 0.000 0.000 1
Zr2 Zr 0.000 0.500 0.500 1
Zr3 Zr 0.500 0.000 0.500 1
Zr4 Zr 0.500 0.500 0.000 1
Co1 Co 0.000 0.000 0.500 1
Co2 Co 0.000 0.500 0.000 1
Co3 Co 0.500 0.000 0.000 1
Co4 Co 0.500 0.500 0.500 1
Se1 Se 0.250 0.250 0.250 1
Se2 Se 0.250 0.250 0.750 1
Se3 Se 0.250 0.750 0.250 1
Se4 Se 0.250 0.750 0.750 1
Se5 Se 0.750 0.250 0.250 1
Se6 Se 0.750 0.250 0.750 1
Se7 Se 0.750 0.750 0.250 1
Se8 Se 0.750 0.750 0.750 1

(11)
# Pt2Rh (GGA-PBEsol, relaxed)
# E_tot: -0.2492 hartree per atom
data_Pt2Rh
_chemical_formula_sum 'Pt8 Rh4'
_symmetry_space_group_name_H-M 'P 1'
_symmetry_Int_Tables_number 1
_symmetry_space_group_name_Hall 'P 1'
_cell_length_a 5.900
_cell_length_b 5.900
_cell_length_c 5.900
_cell_angle_alpha 90.00
_cell_angle_beta 90.00
_cell_angle_gamma 90.00
loop_
_atom_site_label
_atom_site_type_symbol
_atom_site_fract_x
_atom_site_fract_y
_atom_site_fract_z
_atom_site_occupancy
Pt1 Pt 0.250 0.250 0.250 1
Pt2 Pt 0.250 0.250 0.750 1
Pt3 Pt 0.250 0.750 0.250 1
Pt4 Pt 0.250 0.750 0.750 1
Pt5 Pt 0.750 0.250 0.250 1
Pt6 Pt 0.750 0.250 0.750 1
Pt7 Pt 0.750 0.750 0.250 1
Pt8 Pt 0.750 0.750 0.750 1
Rh1 Rh 0.000 0.000 0.000 1
Rh2 Rh 0.000 0.500 0.500 1
Rh3 Rh 0.500 0.000 0.500 1
Rh4 Rh 0.500 0.500 0.000 1

(12)
# AlCdMo2 (GGA-PBEsol, relaxed)
# energy above the lowest structure with this stoichiometry: 0.1197 eV per atom
data_AlCdMo2
_chemical_formula_sum 'Al1 Cd1 Mo2'
_symmetry_space_group_name_H-M 'P 1'
_symmetry_Int_Tables_number 1
_symmetry_space_group_name_Hall 'P 1'
_cell_length_a 3.348
_cell_length_b 4.259
_cell_length_c 4.474
_cell_angle_alpha 90.00
_cell_angle_beta 90.00
_cell_angle_gamma 90.00
loop_
_atom_site_label
_atom_site_type_symbol
_atom_site_fract_x
_atom_site_fract_y
_atom_site_fract_z
_atom_site_occupancy
Al1 Al 0.000 0.000 0.000 1
Cd1 Cd 0.500 0.500 0.000 1
Mo1 Mo 0.000 0.500 0.500 1
Mo2 Mo 0.500 0.000 0.500 1

(13)
# ZnAg3N (GGA-PBEsol, relaxed)
# raw formation energy: 1629 meV/atom
data_ZnAg3N
_chemical_formula_sum 'Zn1 Ag3 N1'
_symmetry_space_group_name_H-M 'P 1'
_symmetry_Int_Tables_number 1
_symmetry_space_group_name_Hall 'P 1'
_cell_length_a 4.729
_cell_length_b 4.729
_cell_length_c 4.729
_cell_angle_alpha 90.00
_cell_angle_beta 90.00
_cell_angle_gamma 90.00
loop_
_atom_site_label
_atom_site_type_symbol
_atom_site_fract_x
_atom_site_fract_y
_atom_site_fract_z
_atom_site_occupancy
Zn1 Zn 0.000 0.000 0.000 1
Ag1 Ag 0.000 0.000 0.500 1
Ag2 Ag 0.000 0.500 0.000 1
Ag3 Ag 0.500 0.000 0.000 1
N1 N 0.500 0.500 0.500 1

(14)
# BaNbI2O (GGA-PBEsol, relaxed)
# raw formation energy: 189 meV/atom
data_BaNbI2O
_chemical_formula_sum 'Ba1 Nb1 I2 O1'
_symmetry_space_group_name_H-M 'P 1'
_symmetry_Int_Tables_number 1
_symmetry_space_group_name_Hall 'P 1'
_cell_length_a 6.483
_cell_length_b 6.483
_cell_length_c 4.383
_cell_angle_alpha 90.00
_cell_angle_beta 90.00
_cell_angle_gamma 90.00
loop_
_atom_site_label
_atom_site_type_symbol
_atom_site_fract_x
_atom_site_fract_y
_atom_site_fract_z
_atom_site_occupancy
Ba1 Ba 0.000 0.000 0.000 1
Nb1 Nb 0.500 0.500 0.500 1
I1 I 0.000 0.500 0.000 1
I2 I 0.500 0.000 0.000 1
O1 O 0.000 0.000 0.500 1

(15)
# MgAl2Cd (GGA-PBEsol, relaxed)
# E_tot: -0.1009 hartree per atom
data_MgAl2Cd
_chemical_formula_sum 'Mg2 Al4 Cd2'
_symmetry_space_group_name_H-M 'P 1'
_symmetry_Int_Tables_number 1
_symmetry_space_group_name_Hall 'P 1'
_cell_length_a 4.163
_cell_length_b 4.308
_cell_length_c 8.371
_cell_angle_alpha 90.00
_cell_angle_beta 90.00
_cell_angle_gamma 90.00
loop_
_atom_site_label
_atom_site_type_symbol
_atom_site_fract_x
_atom_site_fract_y
_atom_site_fract_z
_atom_site_occupancy
Mg1 Mg 0.000 0.000 0.000 1
Mg2 Mg 0.500 0.500 0.000 1
Al1 Al 0.000 0.000 0.481 1
Al2 Al 0.000 0.500 0.254 1
Al3 Al 0.500 0.000 0.254 1
Al4 Al 0.500 0.500 0.481 1
Cd1 Cd 0.000 0.500 0.734 1
Cd2 Cd 0.500 0.000 0.734 1

(16)
# ReW2 (GGA-PBEsol, relaxed)
# energy above the lowest structure with this stoichiometry: 0.0200 eV per atom
data_ReW2
_chemical_formula_sum 'Re1 W2'
_symmetry_space_group_name_H-M 'P 1'
_symmetry_Int_Tables_number 1
_symmetry_space_group_name_Hall 'P 1'
_cell_length_a 4.414
_cell_length_b 4.414
_cell_length_c 2.723
_cell_angle_alpha 90.00
_cell_angle_beta 90.00
_cell_angle_gamma 120.00
loop_
_atom_site_label
_atom_site_type_symbol
_atom_site_fract_x
_atom_site_fract_y
_atom_site_fract_z
_atom_site_occupancy
Re1 Re 0.000 0.000 0.000 1
W1 W 0.333 0.667 0.665 1
W2 W 0.667 0.333 0.335 1

(17)
# Mg2AlSb (GGA-PBEsol, relaxed)
# raw formation energy: -49 meV/atom
# energy above the lowest structure with this stoichiometry: 0.0228 eV per atom
data_Mg2AlSb
_chemical_formula_sum 'Mg2 Al1 Sb1'
_symmetry_space_group_name_H-M 'P 1'
_symmetry_Int_Tables_number 1
_symmetry_space_group_name_Hall 'P 1'
_cell_length_a 3.195
_cell_length_b 3.195
_cell_length_c 8.440
_cell_angle_alpha 90.00
_cell_angle_beta 90.00
_cell_angle_gamma 90.00
loop_
_atom_site_label
_atom_site_type_symbol
_atom_site_fract_x
_atom_site_fract_y
_atom_site_fract_z
_atom_site_occupancy
Mg1 Mg 0.000 0.000 0.232 1
Mg2 Mg 0.000 0.000 0.768 1
Al1 Al 0.500 0.500 0.000 1
Sb1 Sb 0.500 0.500 0.500 1

(18)
# HoAlO3 (GGA-PBEsol, relaxed)
# raw formation energy: -3428 meV/atom
data_HoAlO3
_chemical_formula_sum 'Ho4 Al4 O12'
_symmetry_space_group_name_H-M 'P 1'
_symmetry_Int_Tables_number 1
_symmetry_space_group_name_Hall 'P 1'
_cell_length_a 5.322
_cell_length_b 7.338
_cell_length_c 5.136
_cell_angle_alpha 90.00
_cell_angle_beta 90.00
_cell_angle_gamma 90.00
loop_
_atom_site_label
_atom_site_type_symbol
_atom_site_fract_x
_atom_site_fract_y
_atom_site_fract_z
_atom_site_occupancy
Ho1 Ho 0.058 0.250 0.014 1
Ho2 Ho 0.442 0.750 0.514 1
Ho3 Ho 0.558 0.250 0.486 1
Ho4 Ho 0.942 0.750 0.986 1
Al1 Al 0.000 0.000 0.500 1
Al2 Al 0.000 0.500 0.500 1
Al3 Al 0.500 0.000 0.000 1
Al4 Al 0.500 0.500 0.000 1
O1 O 0.024 0.750 0.410 1
O2 O 0.204 0.547 0.797 1
O3 O 0.204 0.953 0.797 1
O4 O 0.296 0.047 0.297 1
O5 O 0.296 0.453 0.297 1
O6 O 0.476 0.250 0.910 1
O7 O 0.524 0.750 0.090 1
O8 O 0.704 0.547 0.703 1
O9 O 0.704 0.953 0.703 1
O10 O 0.796 0.047 0.203 1
O11 O 0.796 0.453 0.203 1
O12 O 0.976 0.250 0.590 1

(19)
# Na5Pt (GGA-PBEsol, relaxed)
# energy above the lowest structure with this stoichiometry: 0.3415 eV per atom
data_Na5Pt
_chemical_formula_sum 'Na5 Pt1'
_symmetry_space_group_name_H-M 'P 1'
_symmetry_Int_Tables_number 1
_symmetry_space_group_name_Hall 'P 1'
_cell_length_a 5.656
_cell_length_b 5.656
_cell_length_c 5.677
_cell_angle_alpha 90.00
_cell_angle_beta 90.00
_cell_angle_gamma 120.00
loop_
_atom_site_label
_atom_site_type_symbol
_atom_site_fract_x
_atom_site_fract_y
_atom_site_fract_z
_atom_site_occupancy
Na1 Na 0.000 0.500 0.000 1
Na2 Na 0.333 0.667 0.500 1
Na3 Na 0.500 0.000 0.000 1
Na4 Na 0.500 0.500 0.000 1
Na5 Na 0.667 0.333 0.500 1
Pt1 Pt 0.000 0.000 0.500 1

(20)
# TeIrBr2 (GGA-PBEsol, relaxed)
# raw formation energy: -35 meV/atom
data_TeIrBr2
_chemical_formula_sum 'Te1 Ir1 Br2'
_symmetry_space_group_name_H-M 'P 1'
_symmetry_Int_Tables_number 1
_symmetry_space_group_name_Hall 'P 1'
_cell_length_a 5.304
_cell_length_b 3.761
_cell_length_c 5.462
_cell_angle_alpha 90.00
_cell_angle_beta 112.59
_cell_angle_gamma 90.00
loop_
_atom_site_label
_atom_site_type_symbol
_atom_site_fract_x
_atom_site_fract_y
_atom_site_fract_z
_atom_site_occupancy
Te1 Te 0.000 0.000 0.000 1
Ir1 Ir 0.670 0.500 0.814 1
Br1 Br 0.308 0.000 0.664 1
Br2 Br 0.664 0.500 0.328 1

Total moment
In order: 0.0 0.0 0.0 0.0 0.0 1.7 0.0 0.0 8.4 0.8 0.0 0.0 1.7 3.7 0.0 0.0 0.0 0.0 0.0 0.0
Unit: μB per formula unit